Below is crystalline SrBeCuP2 at its relaxed geometry, with properties calculated at the PBE level.

Structure (CIF):
```
data_SrBeCuP2
_cell_length_a 3.769
_cell_length_b 3.769
_cell_length_c 6.717
_cell_angle_alpha 106.29
_cell_angle_beta 106.29
_cell_angle_gamma 90.00
_symmetry_space_group_name_H-M 'P 1'
_symmetry_Int_Tables_number 1
loop_
_symmetry_equiv_pos_as_xyz
'x,y,z'
loop_
_atom_site_label
_atom_site_type_symbol
_atom_site_fract_x
_atom_site_fract_y
_atom_site_fract_z
Sr1 Sr 0.000 0.000 0.000
Be1 Be 0.750 0.250 0.500
Cu1 Cu 0.250 0.750 0.500
P1 P 0.642 0.642 0.285
P2 P 0.358 0.358 0.715
```

Calculated values
formation enthalpy at 0 K: -0.577 eV/atom
ρ: 4.2 g/cm3
total DFT energy (no corrections): -23.210 eV/cell